## PuThIn (PBE)

Data for a relaxed PuThIn crystal.

```
PuThIn
1.0
-2.6846 3.2274 4.6580
2.6846 -3.2274 4.6580
2.6846 3.2274 -4.6580
Pu Th In
2 2 2
Direct
0.1549 0.1549 0.0000 Pu
0.8451 0.8451 0.0000 Pu
0.3187 0.8187 0.5000 Th
0.6813 0.1813 0.5000 Th
0.2577 0.5000 0.7577 In
0.7423 0.5000 0.2423 In
```

Results
* ΔE_f: 0.0 eV/f.u.
* density of states at the Fermi level: 7.50 states/eV/f.u.
* symmetry: Immm

***

## PuThIn6 (PBE)

Data for a relaxed PuThIn6 crystal.

```
PuThIn6
1.0
4.6969 0.0000 0.0000
0.0000 4.6969 0.0000
0.0000 0.0000 9.4050
Pu Th In
1 1 6
Direct
0.0000 0.0000 0.0000 Pu
0.0000 0.0000 0.5000 Th
0.0000 0.5000 0.2432 In
0.0000 0.5000 0.7568 In
0.5000 0.0000 0.2432 In
0.5000 0.0000 0.7568 In
0.5000 0.5000 0.0000 In
0.5000 0.5000 0.5000 In
```

Results
* ΔE_f: -2.3 eV/f.u.
* density of states at the Fermi level: 15.72 states/eV/f.u.
* symmetry: P4/mmm

***

## PuTh3In (PBE)

Data for a relaxed PuTh3In crystal.

```
PuTh3In
1.0
5.7182 0.0000 0.0000
0.0000 6.7249 0.0000
-2.8481 0.0000 7.7133
Pu Th In
2 6 2
Direct
0.0085 0.2500 0.0159 Pu
0.9915 0.7500 0.9841 Pu
0.1842 0.5007 0.3680 Th
0.1842 0.9993 0.3680 Th
0.4102 0.2500 0.8210 Th
0.5898 0.7500 0.1790 Th
0.8158 0.0007 0.6320 Th
0.8158 0.4993 0.6320 Th
0.3745 0.7500 0.7496 In
0.6255 0.2500 0.2504 In
```

Results
* ΔE_f: -0.1 eV/f.u.
* density of states at the Fermi level: 9.04 states/eV/f.u.
* symmetry: P2_1/m

***

## PuThIn (PBE)

Data for a relaxed PuThIn crystal.

```
PuThIn
1.0
-2.0174 2.0174 5.1322
2.0174 -2.0174 5.1322
2.0174 2.0174 -5.1322
Pu Th In
1 1 1
Direct
0.0000 0.0000 0.0000 Pu
0.6687 0.6687 0.0000 Th
0.3372 0.3372 0.0000 In
```

Results
* ΔE_f: -0.2 eV/f.u.
* density of states at the Fermi level: 9.57 states/eV/f.u.
* symmetry: I4mm

***

## PuThIn2 (PBE)

Data for a relaxed PuThIn2 crystal.

```
PuThIn2
1.0
0.0000 3.8357 3.8357
3.8357 0.0000 3.8357
3.8357 3.8357 0.0000
Pu Th In
1 1 2
Direct
0.0000 0.0000 0.0000 Pu
0.5000 0.5000 0.5000 Th
0.2500 0.2500 0.2500 In
0.7500 0.7500 0.7500 In
```

Results
* ΔE_f: -0.5 eV/f.u.
* density of states at the Fermi level: 10.25 states/eV/f.u.
* symmetry: Fm-3m

***

## Pu2ThIn2 (PBE)

Data for a relaxed Pu2ThIn2 crystal.

```
Pu2ThIn2
1.0
5.4633 -2.2600 0.0000
5.4633 2.2600 0.0000
-0.0303 0.0000 10.8775
Pu Th In
4 2 4
Direct
0.0417 0.0417 0.1405 Pu
0.1464 0.1464 0.4570 Pu
0.8536 0.8536 0.5430 Pu
0.9583 0.9583 0.8595 Pu
0.2550 0.2550 0.7487 Th
0.7450 0.7450 0.2513 Th
0.3416 0.3416 0.0479 In
0.4509 0.4509 0.3505 In
0.5491 0.5491 0.6495 In
0.6584 0.6584 0.9521 In
```

Results
* ΔE_f: -0.5 eV/f.u.
* density of states at the Fermi level: 15.78 states/eV/f.u.
* symmetry: C2/m